1.
# Sm2SnCl8

Crystalline Sm2SnCl8 at its relaxed geometry (PBE-GGA, Alexandria).

* symmetry: C2/m (12)
* energy: -4.36 eV/atom
* total magnetic moment: 0.00 μB per cell

Cell lengths 7.670, 7.670, 8.703 Å; angles 91.46, 91.46, 52.39 degrees
Positions (direct):
Sm: 0.143 0.143 0.384
Sm: 0.857 0.857 0.616
Sn: 0.000 0.000 0.000
Cl: 0.065 0.065 0.672
Cl: 0.124 0.614 0.843
Cl: 0.326 0.326 0.474
Cl: 0.386 0.876 0.157
Cl: 0.614 0.124 0.843
Cl: 0.674 0.674 0.526
Cl: 0.876 0.386 0.157
Cl: 0.935 0.935 0.328



2.
# Ho5Si3

Crystalline Ho5Si3 at its relaxed geometry (PBE-GGA, Alexandria).

* symmetry: I4/mcm (140)
* energy: -5.54 eV/atom
* total magnetic moment: 0.00 μB per cell

Cell lengths 8.567, 8.567, 8.567 Å; angles 128.06, 128.06, 76.53 degrees
Positions (direct):
Ho: 0.000 0.000 0.000
Ho: 0.025 0.525 0.841
Ho: 0.185 0.025 0.500
Ho: 0.315 0.815 0.841
Ho: 0.475 0.315 0.500
Ho: 0.500 0.500 0.000
Ho: 0.525 0.685 0.500
Ho: 0.685 0.185 0.159
Ho: 0.815 0.975 0.500
Ho: 0.975 0.475 0.159
Si: 0.125 0.375 0.500
Si: 0.250 0.250 0.000
Si: 0.375 0.875 0.249
Si: 0.625 0.125 0.751
Si: 0.750 0.750 0.000
Si: 0.875 0.625 0.500



3.
# ZnHgSbTe2

Crystalline ZnHgSbTe2 at its relaxed geometry (PBE-GGA, Alexandria).

* symmetry: P4/mmm (123)
* energy: -1.97 eV/atom
* total magnetic moment: 0.00 μB per cell

Cell lengths 5.450, 5.450, 5.186 Å; angles 90.00, 90.00, 90.00 degrees
Positions (direct):
Zn: 0.000 0.000 0.000
Hg: 0.500 0.500 0.500
Sb: 0.000 0.000 0.500
Te: 0.000 0.500 0.000
Te: 0.500 0.000 0.000



4.
# KMn2Re

Crystalline KMn2Re at its relaxed geometry (PBE-GGA, Alexandria).

* symmetry: P4mm (99)
* energy: -7.19 eV/atom
* total magnetic moment: 5.33 μB per cell
* ΔH_f (0 K): 3.12 eV per formula unit

Cell lengths 2.963, 2.963, 8.716 Å; angles 90.00, 90.00, 90.00 degrees
Positions (direct):
K: 0.000 0.000 0.000
Mn: 0.000 0.000 0.525
Mn: 0.500 0.500 0.346
Re: 0.500 0.500 0.671